Arrangement P

Computed, not measured: TaVN after structural relaxation at the PBE level of DFT.

magnetization	0.0	μB per formula unit
volume	11.72	A^3/atom

abc: 2.686 2.686 9.742
angles: 90.00 90.00 90.00
Space group I4mm (No. 107)
Unique sites:
1 Ta 0.000 0.000 0.000
2 V 0.000 0.000 0.268
3 N 0.000 0.000 0.663

Arrangement Q

Computed, not measured: TaVN after structural relaxation at the PBE level of DFT.

magnetization	0.0	μB per formula unit
volume	12.22	A^3/atom

abc: 3.0162 3.0162 4.6530
angles: 90.00 90.00 120.00
Space group P3m1 (No. 156)
Unique sites:
1 Ta 0.0000 0.0000 0.0000
2 V 0.6667 0.3333 0.5006
3 N 0.3333 0.6667 0.7246

Arrangement R

Computed, not measured: TaVN after structural relaxation at the PBE level of DFT.

magnetization	0.0	μB per formula unit
volume	11.84	A^3/atom

abc: 5.218 5.218 5.218
angles: 90.00 90.00 90.00
Space group P2_13 (No. 198)
Unique sites:
1 Ta 0.148 0.148 0.148
2 V 0.142 0.358 0.642
3 N 0.010 0.510 0.990

On energetic grounds, arrangement Q is preferred over the next structure by 0.218 eV/atom.